Computed, not measured: a relaxed structure of Ni7RuRh4 at the PBE level of DFT.

Values from the calculation:
* calculated volume: 159.5 Å³/cell
* ΔE_f: 398 meV per atom
* E: -6.1984 eV/atom
* calculated density: 9.6 g/cm3
* magnetic moment: 8.5 μB/cell

Cell: 4.405 8.455 4.968 Å, 87.80 63.68 74.90°
Fractional coordinates of all 12 atoms:
1 Ni 0.500 0.000 0.000
2 Ni 0.037 0.619 0.307
3 Ni 0.350 0.525 0.776
4 Ni 0.202 0.085 0.511
5 Ni 0.650 0.475 0.224
6 Ni 0.798 0.915 0.489
7 Ni 0.963 0.381 0.693
8 Rh 0.711 0.698 0.881
9 Rh 0.632 0.230 0.506
10 Rh 0.289 0.302 0.119
11 Rh 0.368 0.770 0.494
12 Ru 0.000 0.000 0.000